Material: Sm3Ho2Tm6Zr
Method: DFT, GGA-PBE
State: optimized geometry

The value obtained for the mass density is 8.6 g/cm3. As for the space group: C2/m. The value obtained for the uncorrected energy is -4.847 eV per atom.

Cell: 6.0674 6.0674 11.5456 Å, 95.02 95.02 119.94°
Element x y z (fractional)
Tm: 0.4069 0.0804 0.2426
Tm: 0.9196 0.5931 0.7574
Tm: 0.2458 0.2458 0.7577
Tm: 0.0804 0.4069 0.2426
Tm: 0.5931 0.9196 0.7574
Tm: 0.7542 0.7542 0.2423
Sm: 0.8338 0.1662 0.5000
Sm: 0.1662 0.8338 0.5000
Sm: 0.5000 0.5000 0.5000
Ho: 0.6668 0.3332 0.0000
Ho: 0.3332 0.6668 0.0000
Zr: 0.0000 0.0000 0.0000

=====

Material: AlCoNi6
Method: DFT, GGA-PBE
State: optimized geometry

The value obtained for the mass density is 8.2 g/cm3. As for the space group: Cmmm. For the relative energy among the computed polymorphs, the calculation gives 4.0 meV per atom. The value obtained for the uncorrected energy is -5.891 eV per atom.

Cell: 6.1389 6.1389 10.0232 Å, 90.00 90.00 109.63°
Element x y z (fractional)
Ni: 0.8710 0.6228 0.3764
Ni: 0.5000 0.5000 0.7500
Ni: 0.2512 0.7488 0.9965
Ni: 0.3785 0.1267 0.6263
Ni: 0.1267 0.3785 0.6263
Ni: 0.8733 0.6215 0.8737
Ni: 0.0000 0.0000 0.2500
Ni: 0.8710 0.6228 0.1236
Ni: 0.2512 0.7488 0.5035
Ni: 0.3785 0.1267 0.8737
Ni: 0.6215 0.8733 0.6263
Ni: 0.1290 0.3772 0.3764
Ni: 0.0000 0.0000 0.7500
Ni: 0.6228 0.8710 0.3764
Ni: 0.3772 0.1290 0.1236
Ni: 0.7488 0.2512 0.9965
Ni: 0.1290 0.3772 0.1236
Ni: 0.8733 0.6215 0.6263
Ni: 0.6228 0.8710 0.1236
Ni: 0.1267 0.3785 0.8737
Ni: 0.3772 0.1290 0.3764
Ni: 0.5000 0.5000 0.2500
Ni: 0.6215 0.8733 0.8737
Ni: 0.7488 0.2512 0.5035
Al: 0.0000 0.0000 0.4995
Al: 0.7519 0.2481 0.2500
Al: 0.0000 0.0000 0.0005
Al: 0.2481 0.7519 0.2500
Co: 0.2481 0.7519 0.7500
Co: 0.7519 0.2481 0.7500
Co: 0.5000 0.5000 0.9995
Co: 0.5000 0.5000 0.5005

=====

> The highest mass density belongs to which entry?

Sm3Ho2Tm6Zr